# YHF3

A relaxed YHF3 crystal (PBE-GGA, Alexandria via LeMat-Bulk).

Structure (extended XYZ):
```
5
Lattice="4.402 0.000 0.000 0.000 4.402 0.000 0.000 0.000 4.402" Properties=species:S:1:pos:R:3 pbc="T T T"
Y 0.000 0.000 0.000
H 2.201 2.201 2.201
F 0.000 0.000 2.201
F 0.000 2.201 0.000
F 2.201 0.000 0.000
```

Properties
* symmetry: Pm-3m (221)
* theoretical density: 2.86 g/cm3
* energy relative to the lowest polymorph listed for this composition: 0 meV/atom
* density of states at the Fermi level: 0.00 states/eV per atom



# YHF

A relaxed YHF crystal (PBE-GGA, Alexandria via LeMat-Bulk).

Structure (extended XYZ):
```
6
Lattice="3.872 0.000 0.000 0.000 3.656 0.000 -0.175 0.000 5.702" Properties=species:S:1:pos:R:3 pbc="T T T"
Y 0.802 0.914 1.309
Y 2.894 2.742 4.393
H 0.073 0.914 4.978
H 3.623 2.742 0.724
F 0.927 2.742 2.956
F 2.769 0.914 2.746
```

Properties
* symmetry: P2_1/m (11)
* theoretical density: 4.48 g/cm3
* energy relative to the lowest polymorph listed for this composition: 103 meV/atom
* density of states at the Fermi level: 0.26 states/eV per atom



# YHF

A relaxed YHF crystal (PBE-GGA, Alexandria via LeMat-Bulk).

Structure (extended XYZ):
```
12
Lattice="0.000 3.950 5.911 3.710 0.000 5.911 3.710 3.950 0.000" Properties=species:S:1:pos:R:3 pbc="T T T"
Y 2.783 0.978 4.433
Y 4.638 2.953 7.389
Y 2.783 4.947 4.433
Y 4.638 6.922 7.389
H 3.710 1.975 2.956
H 1.855 3.950 2.956
H 1.855 1.975 5.911
H 3.710 3.950 5.911
F 0.928 0.988 0.062
F 0.928 0.988 2.894
F 6.493 6.913 8.929
F 6.493 6.913 11.761
```

Properties
* symmetry: Fddd (70)
* theoretical density: 4.17 g/cm3
* energy relative to the lowest polymorph listed for this composition: 342 meV/atom
* density of states at the Fermi level: 0.47 states/eV per atom



# YHF

A relaxed YHF crystal (PBE-GGA, Alexandria via LeMat-Bulk).

Structure (extended XYZ):
```
6
Lattice="3.898 0.000 0.000 0.000 3.898 0.000 0.000 0.000 5.260" Properties=species:S:1:pos:R:3 pbc="T T T"
Y 0.000 1.949 0.000
Y 1.949 0.000 2.630
H 0.000 0.000 1.315
H 0.000 0.000 3.945
F 1.949 1.949 1.315
F 1.949 1.949 3.945
```

Properties
* symmetry: P4_2/mmc (131)
* theoretical density: 4.52 g/cm3
* energy relative to the lowest polymorph listed for this composition: 139 meV/atom
* density of states at the Fermi level: 0.54 states/eV per atom



# YHF

A relaxed YHF crystal (PBE-GGA, Alexandria via LeMat-Bulk).

Structure (extended XYZ):
```
3
Lattice="0.000 2.719 2.719 2.719 0.000 2.719 2.719 2.719 0.000" Properties=species:S:1:pos:R:3 pbc="T T T"
Y 0.000 0.000 0.000
H 4.079 4.079 4.079
F 1.360 1.360 1.360
```

Properties
* symmetry: F-43m (216)
* theoretical density: 4.50 g/cm3
* energy relative to the lowest polymorph listed for this composition: 185 meV/atom
* density of states at the Fermi level: 0.63 states/eV per atom



# Zn2H2F

A relaxed Zn2H2F crystal (PBE-GGA, Alexandria via LeMat-Bulk).

Structure (extended XYZ):
```
10
Lattice="-2.902 2.902 5.351 2.902 -2.902 5.351 2.902 2.902 -5.351" Properties=species:S:1:pos:R:3 pbc="T T T"
Zn 0.000 1.199 0.000
Zn -1.199 2.902 2.676
Zn 1.199 2.902 2.676
Zn 0.000 4.605 0.000
H 0.000 1.656 1.645
H 0.000 4.147 1.645
H -1.656 2.902 4.321
H 1.656 2.902 4.321
F 2.902 0.000 4.319
F 0.000 0.000 6.995
```

Properties
* symmetry: I4_1md (109)
* total energy: -2.59 eV/atom
* theoretical density: 2.80 g/cm3
* density of states at the Fermi level: 0.06 states/eV per atom



# ZnH2F2

A relaxed ZnH2F2 crystal (PBE-GGA, Alexandria via LeMat-Bulk).

Structure (extended XYZ):
```
10
Lattice="3.440 0.000 0.000 0.025 3.441 0.000 0.079 0.073 11.262" Properties=species:S:1:pos:R:3 pbc="T T T"
Zn 0.066 1.704 2.818
Zn 3.478 1.810 8.444
H 0.479 3.490 11.240
H 1.752 2.132 5.609
H 1.792 1.382 5.653
H 3.065 0.024 0.023
F 0.078 3.425 3.722
F 1.758 1.809 9.349
F 1.785 1.705 1.913
F 3.466 0.089 7.540
```

Properties
* symmetry: P-1 (2)
* total energy: -3.67 eV/atom
* theoretical density: 2.63 g/cm3
* density of states at the Fermi level: 0.00 states/eV per atom



# ZnH2F

A relaxed ZnH2F crystal (PBE-GGA, Alexandria via LeMat-Bulk).

Structure (extended XYZ):
```
8
Lattice="-1.581 1.581 6.914 1.581 -1.581 6.914 1.581 1.581 -6.914" Properties=species:S:1:pos:R:3 pbc="T T T"
Zn 1.581 0.790 1.729
Zn 0.000 0.790 5.186
H 1.581 0.000 0.000
H -0.790 0.790 3.457
H 0.000 0.000 6.914
H 0.790 0.790 3.457
F 1.581 -0.790 5.186
F 0.000 2.371 1.729
```

Properties
* symmetry: I4_1/amd (141)
* theoretical density: 4.15 g/cm3
* energy relative to the lowest polymorph listed for this composition: 0 meV/atom
* density of states at the Fermi level: 0.18 states/eV per atom



# ZnHF4

A relaxed ZnHF4 crystal (PBE-GGA, Alexandria via LeMat-Bulk).

Structure (extended XYZ):
```
12
Lattice="2.487 -6.316 0.000 2.487 6.316 0.000 -2.024 0.000 4.956" Properties=species:S:1:pos:R:3 pbc="T T T"
Zn 0.969 5.460 3.717
Zn 1.981 -5.460 1.239
H 1.981 2.190 1.239
H 0.969 -2.190 3.717
F 0.852 2.256 1.052
F -0.158 0.552 3.174
F 0.854 -0.552 0.696
F -0.160 -2.256 3.530
F 3.110 2.256 1.426
F 2.096 0.552 4.260
F 3.108 -0.552 1.782
F 2.098 -2.256 3.904
```

Properties
* symmetry: C2/c (15)
* total energy: -3.62 eV/atom
* theoretical density: 3.04 g/cm3
* density of states at the Fermi level: 0.53 states/eV per atom



# ZnH2F4

A relaxed ZnH2F4 crystal (PBE-GGA, Alexandria via LeMat-Bulk).

Structure (extended XYZ):
```
7
Lattice="-1.995 1.995 4.659 1.995 -1.995 4.659 1.995 1.995 -4.659" Properties=species:S:1:pos:R:3 pbc="T T T"
Zn 0.000 0.000 0.000
H 0.000 0.000 3.197
H 0.000 0.000 6.121
F 1.995 0.000 0.000
F 0.000 0.000 2.249
F 0.000 1.995 0.000
F 0.000 0.000 7.069
```

Properties
* symmetry: I4/mmm (139)
* total energy: -3.96 eV/atom
* theoretical density: 3.21 g/cm3
* density of states at the Fermi level: 0.00 states/eV per atom



# Zn2HF2

A relaxed Zn2HF2 crystal (PBE-GGA, Alexandria via LeMat-Bulk).

Structure (extended XYZ):
```
10
Lattice="-3.092 3.092 4.760 3.092 -3.092 4.760 3.092 3.092 -4.760" Properties=species:S:1:pos:R:3 pbc="T T T"
Zn 0.000 1.560 0.000
Zn 0.000 4.624 0.000
Zn 1.560 3.092 2.380
Zn 1.532 0.000 7.141
H 3.092 0.000 3.990
H 0.000 0.000 6.371
F 0.000 1.710 2.085
F 0.000 4.474 2.085
F -1.710 3.092 4.465
F 1.710 3.092 4.465
```

Properties
* symmetry: I4_1md (109)
* total energy: -2.95 eV/atom
* theoretical density: 3.10 g/cm3
* density of states at the Fermi level: 0.28 states/eV per atom



# ZnH2F

A relaxed ZnH2F crystal (PBE-GGA, Alexandria via LeMat-Bulk).

Structure (extended XYZ):
```
4
Lattice="0.000 2.548 2.548 2.548 0.000 2.548 2.548 2.548 0.000" Properties=species:S:1:pos:R:3 pbc="T T T"
Zn 0.000 0.000 0.000
H 1.274 1.274 1.274
H 3.822 3.822 3.822
F 2.548 2.548 2.548
```

Properties
* symmetry: Fm-3m (225)
* theoretical density: 4.34 g/cm3
* energy relative to the lowest polymorph listed for this composition: 647 meV/atom
* density of states at the Fermi level: 0.08 states/eV per atom



# ZrZn2HF

A relaxed ZrZn2HF crystal (PBE-GGA, Alexandria via LeMat-Bulk).

Structure (extended XYZ):
```
5
Lattice="5.467 0.000 0.000 0.000 5.467 0.000 0.000 0.000 3.710" Properties=species:S:1:pos:R:3 pbc="T T T"
Zr 0.000 0.000 0.000
Zn 0.000 2.734 0.000
Zn 2.734 0.000 0.000
H 0.000 0.000 1.855
F 2.734 2.734 1.855
```

Properties
* symmetry: P4/mmm (123)
* total energy: -3.04 eV/atom
* theoretical density: 3.62 g/cm3
* density of states at the Fermi level: 0.66 states/eV per atom



# ZrHF2

A relaxed ZrHF2 crystal (PBE-GGA, Alexandria via LeMat-Bulk).

Structure (extended XYZ):
```
4
Lattice="1.534 0.886 5.986 -1.534 0.886 5.986 0.000 -1.771 5.986" Properties=species:S:1:pos:R:3 pbc="T T T"
Zr 0.000 0.000 0.000
H 0.000 0.000 8.979
F 0.000 0.000 7.824
F 0.000 0.000 10.134
```

Properties
* symmetry: R-3m (166)
* theoretical density: 4.43 g/cm3
* energy relative to the lowest polymorph listed for this composition: 280 meV/atom
* density of states at the Fermi level: 0.55 states/eV per atom



# Zr2HF

A relaxed Zr2HF crystal (PBE-GGA, Alexandria via LeMat-Bulk).

Structure (extended XYZ):
```
4
Lattice="0.000 3.053 3.053 3.053 0.000 3.053 3.053 3.053 0.000" Properties=species:S:1:pos:R:3 pbc="T T T"
Zr 1.527 1.527 1.527
Zr 4.580 4.580 4.580
H 0.000 0.000 0.000
F 3.053 3.053 3.053
```

Properties
* symmetry: Fm-3m (225)
* theoretical density: 5.90 g/cm3
* energy relative to the lowest polymorph listed for this composition: 723 meV/atom
* density of states at the Fermi level: 0.78 states/eV per atom



# ZrH2F8

A relaxed ZrH2F8 crystal (PBE-GGA, Alexandria via LeMat-Bulk).

Structure (extended XYZ):
```
11
Lattice="4.315 -2.951 0.000 4.315 2.951 0.000 -1.369 0.000 5.284" Properties=species:S:1:pos:R:3 pbc="T T T"
Zr 0.000 0.000 0.000
H 1.882 0.000 2.879
H 5.378 0.000 2.405
F 2.946 1.501 0.654
F 0.767 0.000 1.842
F 4.315 1.501 4.630
F 2.490 0.000 3.640
F 4.770 0.000 1.644
F 2.946 -1.501 0.654
F 6.494 0.000 3.442
F 4.315 -1.501 4.630
```

Properties
* symmetry: C2/m (12)
* theoretical density: 3.03 g/cm3
* energy relative to the lowest polymorph listed for this composition: 26 meV/atom
* density of states at the Fermi level: 0.11 states/eV per atom



# ZrHF

A relaxed ZrHF crystal (PBE-GGA, Alexandria via LeMat-Bulk).

Structure (extended XYZ):
```
6
Lattice="2.735 -1.579 0.000 2.735 1.579 0.000 -1.810 0.000 8.448" Properties=species:S:1:pos:R:3 pbc="T T T"
Zr 0.913 0.000 1.519
Zr 2.746 0.000 6.930
H -0.900 0.000 7.864
H 4.560 0.000 0.584
F 0.924 0.000 5.536
F 2.736 0.000 2.912
```

Properties
* symmetry: C2/m (12)
* total energy: -6.26 eV/atom
* theoretical density: 5.06 g/cm3
* density of states at the Fermi level: 0.23 states/eV per atom



# ZrH2F6

A relaxed ZrH2F6 crystal (PBE-GGA, Alexandria via LeMat-Bulk).

Structure (extended XYZ):
```
9
Lattice="2.438 1.408 5.253 -2.438 1.408 5.253 0.000 -2.816 5.253" Properties=species:S:1:pos:R:3 pbc="T T T"
Zr 0.000 0.000 0.000
H 0.000 0.000 3.998
H 0.000 0.000 6.536
F -0.518 -1.259 6.486
F -1.906 0.154 9.292
F -0.832 1.078 6.486
F 0.820 -1.728 9.292
F 1.349 0.181 6.486
F 1.087 1.574 9.292
```

Properties
* symmetry: R3 (146)
* total energy: -5.45 eV/atom
* theoretical density: 3.18 g/cm3
* density of states at the Fermi level: 0.00 states/eV per atom



# Zr2HF8

A relaxed Zr2HF8 crystal (PBE-GGA, Alexandria via LeMat-Bulk).

Structure (extended XYZ):
```
11
Lattice="5.800 -3.356 0.000 5.800 3.356 0.000 -0.414 0.000 4.085" Properties=species:S:1:pos:R:3 pbc="T T T"
Zr 2.445 0.000 0.301
Zr 8.741 0.000 3.784
H 5.593 0.000 2.043
F 0.697 0.000 1.092
F 3.995 1.494 0.487
F 2.876 0.000 2.374
F 7.191 1.494 3.598
F 3.995 -1.494 0.487
F 8.310 0.000 1.711
F 7.191 -1.494 3.598
F 10.489 0.000 2.993
```

Properties
* symmetry: C2/m (12)
* total energy: -6.27 eV/atom
* theoretical density: 3.50 g/cm3
* density of states at the Fermi level: 0.00 states/eV per atom



# ZrH2F8

A relaxed ZrH2F8 crystal (PBE-GGA, Alexandria via LeMat-Bulk).

Structure (extended XYZ):
```
11
Lattice="3.599 0.000 0.000 1.248 5.757 0.000 0.464 1.502 6.864" Properties=species:S:1:pos:R:3 pbc="T T T"
Zr 0.000 0.000 0.000
H 2.310 5.243 4.607
H 4.124 3.122 2.455
F 0.662 2.573 5.069
F 1.659 5.651 5.419
F 1.254 3.278 1.847
F 2.287 2.732 6.733
F 3.039 4.921 3.725
F 3.045 4.645 0.345
F 2.888 3.004 3.589
F 3.591 0.588 1.833
```

Properties
* symmetry: P1 (1)
* theoretical density: 2.86 g/cm3
* energy relative to the lowest polymorph listed for this composition: 0 meV/atom